[1]
Below is a geometry-optimized Cu2TeI8 structure, with properties calculated at the GGA-PBE level.

a b c (Å): 7.384 8.936 8.936
angles (deg): 61.64 84.88 84.88
Element x y z (fractional)
1 I 0.787 0.141 0.689
2 I 0.420 0.313 0.313
3 I 0.287 0.840 0.840
4 I 0.213 0.311 0.859
5 I 0.580 0.687 0.687
6 I 0.713 0.160 0.160
7 I 0.213 0.859 0.311
8 I 0.787 0.689 0.141
9 Te 0.000 0.000 0.000
10 Cu 0.365 0.152 0.152
11 Cu 0.635 0.848 0.848

Computed properties:
The density of states at the Fermi level comes out at 0.354 states/eV/f.u. The value obtained for the relative energy among the computed polymorphs is 36 kJ/mol of formula units. As for the space group: C2/m. The value obtained for the energy relative to the elements, uncorrected is -0.0566 eV per atom.



[2]
Below is a geometry-optimized TiCuTe2I structure, with properties calculated at the GGA-PBE level.

a b c (Å): 5.146 5.146 5.355
angles (deg): 90.00 90.00 90.00
Last column: magnetic moment on the atom in μB.
Element x y z (fractional)
1 Ti 0.500 0.500 0.500  1.78
2 Te 0.500 0.000 0.000  -0.14
3 Te 0.000 0.500 0.000  -0.14
4 I 0.000 0.000 0.500  -0.09
5 Cu 0.000 0.000 0.000  -0.01

Computed properties:
The density of states at the Fermi level comes out at 6.126 states/eV/f.u. The value obtained for the relative energy among the computed polymorphs is 117 kJ/mol of formula units. As for the space group: P4/mmm. The value obtained for the energy relative to the elements, uncorrected is 0.4976 eV per atom.



[3]
Below is a geometry-optimized TiCuTe2I structure, with properties calculated at the GGA-PBE level.

a b c (Å): 5.260 5.260 5.742
angles (deg): 90.00 90.00 90.00
Element x y z (fractional)
1 I 0.000 0.000 0.500
2 Te 0.000 0.500 0.000
3 Te 0.500 0.000 0.000
4 Ti 0.000 0.000 0.000
5 Cu 0.500 0.500 0.500

Computed properties:
The density of states at the Fermi level comes out at 2.454 states/eV/f.u. The value obtained for the relative energy among the computed polymorphs is 0 kJ/mol of formula units. As for the space group: P4/mmm. The value obtained for the energy relative to the elements, uncorrected is 0.2541 eV per atom.



[4]
Below is a geometry-optimized TlCu2TeI8 structure, with properties calculated at the GGA-PBE level.

a b c (Å): 7.287 7.287 10.028
angles (deg): 90.80 90.80 70.95
Element x y z (fractional)
1 I 0.713 0.713 0.465
2 I 0.287 0.287 0.535
3 I 0.264 0.758 0.214
4 I 0.252 0.252 0.004
5 I 0.242 0.736 0.786
6 I 0.748 0.748 0.996
7 I 0.758 0.264 0.214
8 I 0.736 0.242 0.786
9 Cu 0.654 0.654 0.224
10 Cu 0.346 0.346 0.776
11 Tl 0.000 0.000 0.500
12 Te 0.000 0.000 0.000

Computed properties:
The density of states at the Fermi level comes out at 13.308 states/eV/f.u. As for the space group: C2/m. The value obtained for the energy relative to the elements, uncorrected is -0.1643 eV per atom.



[5]
Below is a geometry-optimized VCuTeI2 structure, with properties calculated at the GGA-PBE level.

a b c (Å): 5.621 5.621 5.153
angles (deg): 90.00 90.00 90.00
Last column: magnetic moment on the atom in μB.
Element x y z (fractional)
1 Cu 0.500 0.500 0.500  0.01
2 V 0.000 0.000 0.000  2.04
3 I 0.000 0.500 0.000  -0.04
4 I 0.500 0.000 0.000  -0.04
5 Te 0.000 0.000 0.500  -0.28

Computed properties:
The density of states at the Fermi level comes out at 3.647 states/eV/f.u. The value obtained for the relative energy among the computed polymorphs is 0 kJ/mol of formula units. As for the space group: P4/mmm. The value obtained for the energy relative to the elements, uncorrected is 0.4480 eV per atom.



[6]
Below is a geometry-optimized VCuTe2I structure, with properties calculated at the GGA-PBE level.

a b c (Å): 5.160 5.160 5.237
angles (deg): 90.00 90.00 90.00
Last column: magnetic moment on the atom in μB.
Element x y z (fractional)
1 Te 0.500 0.000 0.000  0.03
2 Te 0.000 0.500 0.000  0.03
3 V 0.500 0.500 0.500  -0.14
4 Cu 0.000 0.000 0.000  0.01
5 I 0.000 0.000 0.500  -0.01

Computed properties:
The density of states at the Fermi level comes out at 8.654 states/eV/f.u. The value obtained for the relative energy among the computed polymorphs is 208 kJ/mol of formula units. As for the space group: P4/mmm. The value obtained for the energy relative to the elements, uncorrected is 0.9205 eV per atom.